Material: LaTb4Y
Method: DFT, PBE
State: relaxed

a = 6.975 Å, b = 6.975 Å, c = 9.755 Å
α = 90.00°, β = 90.00°, γ = 121.90°
Atoms (fractional coordinates):
1 Tb 0.653 0.347 0.930
2 Tb 0.156 0.364 0.750
3 Tb 0.364 0.156 0.250
4 Tb 0.653 0.347 0.570
5 Tb 0.636 0.844 0.750
6 Tb 0.844 0.636 0.250
7 Tb 0.347 0.653 0.070
8 Tb 0.347 0.653 0.430
9 Y 0.000 0.000 0.500
10 Y 0.000 0.000 0.000
11 La 0.181 0.819 0.750
12 La 0.819 0.181 0.250

Summary:
The value obtained for the density of states at the Fermi level is 1.50 states/eV/atom. The value obtained for the energy relative to the lowest polymorph listed for this composition is 220.5 meV/atom.